Entry 1:
Density functional theory data (PBE) for crystalline Tb2Sn3 at its relaxed geometry.

```
Tb2Sn3
1.0
7.671 0.000 0.000
0.000 7.671 0.000
0.000 0.000 4.529
Tb Sn
4 6
direct
0.145 0.694 0.000 Tb
0.306 0.145 0.000 Tb
0.694 0.855 0.000 Tb
0.855 0.306 0.000 Tb
0.000 0.000 0.500 Sn
0.173 0.397 0.500 Sn
0.397 0.827 0.500 Sn
0.500 0.500 0.000 Sn
0.603 0.173 0.500 Sn
0.827 0.603 0.500 Sn
```

Output
E_tot (eV/atom): -4.885
Crystal system: tetragonal
Magnetization (μB/atom): 0.00
Energy of formation from the pure elements (eV per atom): -0.63


Entry 2:
Density functional theory data (PBE) for crystalline Tb4Sn3 at its relaxed geometry.

```
Tb4Sn3
1.0
-4.665 4.665 4.665
4.665 -4.665 4.665
4.665 4.665 -4.665
Tb Sn
8 6
direct
0.000 0.359 0.500 Tb
0.000 0.859 0.500 Tb
0.141 0.141 0.141 Tb
0.359 0.500 0.000 Tb
0.500 0.000 0.359 Tb
0.500 0.000 0.859 Tb
0.641 0.641 0.641 Tb
0.859 0.500 0.000 Tb
0.125 0.750 0.875 Sn
0.250 0.625 0.375 Sn
0.375 0.250 0.625 Sn
0.625 0.375 0.250 Sn
0.750 0.875 0.125 Sn
0.875 0.125 0.750 Sn
```

Output
E_tot (eV/atom): -5.100
Crystal system: cubic
Magnetization (μB/atom): 0.00
Energy of formation from the pure elements (eV per atom): -0.74


Entry 3:
Density functional theory data (PBE) for crystalline TbSn4 at its relaxed geometry.

```
TbSn4
1.0
5.750 0.000 0.000
0.000 5.750 0.000
0.000 0.000 5.750
Tb Sn
1 4
direct
0.000 0.000 0.000 Tb
0.000 0.000 0.500 Sn
0.000 0.500 0.000 Sn
0.500 0.000 0.000 Sn
0.500 0.500 0.500 Sn
```

Output
E_tot (eV/atom): -3.618
Crystal system: cubic
Magnetization (μB/atom): 0.00
Energy of formation from the pure elements (eV per atom): 0.51


Entry 4:
Density functional theory data (PBE) for crystalline Tb3Sn at its relaxed geometry.

```
Tb3Sn
1.0
3.575 0.000 0.000
0.000 11.115 0.000
0.000 0.000 5.866
Tb Sn
6 2
direct
0.000 0.000 0.000 Tb
0.000 0.230 0.631 Tb
0.000 0.770 0.631 Tb
0.500 0.270 0.131 Tb
0.500 0.500 0.500 Tb
0.500 0.730 0.131 Tb
0.000 0.500 0.968 Sn
0.500 0.000 0.468 Sn
```

Output
E_tot (eV/atom): -4.830
Crystal system: orthorhombic
Magnetization (μB/atom): 0.00
Energy of formation from the pure elements (eV per atom): -0.36